This record from the Alexandria database describes GeBiI2O at its PBEsol-relaxed geometry. The functional is SCAN.

Cell lengths 5.8881, 5.8881, 3.7239 Å; angles 90.00, 90.00, 90.00 degrees
Last column: nearest neighbours and their distance in Å.
Space group P4/mmm (No. 123)
Symmetry-distinct sites (fractional):
1 Ge 0.0000 0.0000 0.0000 [1 per cell]  2 O 1.86
2 Bi 0.5000 0.5000 0.5000 [1 per cell]  8 I 3.48, 2 Bi 3.72
3 I 0.0000 0.5000 0.0000 [2 per cell]  2 Ge 2.94
4 O 0.0000 0.0000 0.5000 [1 per cell]  2 Ge 1.86

Calculated values
Its energy above the most stable polymorph in this dataset is 0 meV per atom. For the uncorrected formation energy, the calculation gives -0.11 eV/atom.

This record from the Alexandria database describes Sr2ScZn at its PBEsol-relaxed geometry. The functional is SCAN.

Cell lengths 7.7692, 7.7692, 7.7692 Å; angles 90.00, 90.00, 90.00 degrees
Last column: nearest neighbours and their distance in Å.
Space group F-43m (No. 216)
Symmetry-distinct sites (fractional):
1 Sr 0.0000 0.0000 0.0000 [4 per cell]  4 Sc 3.36, 4 Sr 3.36
2 Sr 0.2500 0.2500 0.2500 [4 per cell]  4 Sr 3.36, 4 Zn 3.36
3 Sc 0.2500 0.2500 0.7500 [4 per cell]  4 Sr 3.36, 4 Zn 3.36
4 Zn 0.0000 0.0000 0.5000 [4 per cell]  4 Sr 3.36, 4 Sc 3.36

Calculated values
As for the formation energy: 0.312 eV per atom.

The total moment results, record by record, are as follows: 0.000 0.017 μB/cell.
The D(E_F) results, record by record, are as follows: 0.536 1.331 states/eV per atom.